# RbTbCoTe3 PBE relaxed
# VASP energy ... -0.3342 Ry/atom
data_RbTbCoTe3
_cell_length_a 10.154
_cell_length_b 4.259
_cell_length_c 10.390
_cell_angle_alpha 90.00
_cell_angle_beta 112.09
_cell_angle_gamma 90.00
_space_group_name_H-M_alt 'P 1 21/m 1'
_space_group_IT_number 11
loop_
_space_group_symop_operation_xyz
'x,y,z'
'-x,-y,-z'
'-x,y+1/2,-z'
'x,-y+1/2,z'
loop_
_atom_site_label
_atom_site_fract_x
_atom_site_fract_y
_atom_site_fract_z
Rb1 0.211 0.250 0.239
Tb1 0.326 0.750 0.859
Co1 0.077 0.250 0.589
Te1 0.106 0.250 0.848
Te2 0.186 0.750 0.532
Te3 0.471 0.750 0.177



# RbTbCoTe3 PBE relaxed
# VASP energy ... -0.3279 Ry/atom
data_RbTbCoTe3
_cell_length_a 11.052
_cell_length_b 4.405
_cell_length_c 16.105
_cell_angle_alpha 90.00
_cell_angle_beta 90.00
_cell_angle_gamma 90.00
_space_group_name_H-M_alt 'P n m a'
_space_group_IT_number 62
loop_
_space_group_symop_operation_xyz
'x,y,z'
'-x,-y,-z'
'-x+1/2,-y,z+1/2'
'x+1/2,y,-z+1/2'
'x+1/2,-y+1/2,-z+1/2'
'-x+1/2,y+1/2,z+1/2'
'-x,y+1/2,-z'
'x,-y+1/2,z'
loop_
_atom_site_label
_atom_site_fract_x
_atom_site_fract_y
_atom_site_fract_z
Rb1 0.038 0.250 0.166
Tb1 0.155 0.750 0.443
Co1 0.151 0.250 0.625
Te1 0.029 0.750 0.615
Te2 0.183 0.750 0.011
Te3 0.229 0.250 0.771



# RbCoTc PBE relaxed
# VASP energy ... -0.3025 Ry/atom
# Excess energy over the best structure of this formula in the dataset ... 0 meV/atom
data_RbCoTc
_cell_length_a 6.531
_cell_length_b 6.531
_cell_length_c 6.531
_cell_angle_alpha 90.00
_cell_angle_beta 90.00
_cell_angle_gamma 90.00
_space_group_name_H-M_alt 'F -4 3 m'
_space_group_IT_number 216
_space_group_name_Hall 'F -4 2 3'
loop_
_atom_site_label
_atom_site_fract_x
_atom_site_fract_y
_atom_site_fract_z
Rb1 0.000 0.000 0.000
Co1 0.250 0.250 0.250
Tc1 0.000 0.000 0.500



# RbCoTc PBE relaxed
# VASP energy ... -0.2462 Ry/atom
# Excess energy over the best structure of this formula in the dataset ... 766 meV/atom
data_RbCoTc
_cell_length_a 6.647
_cell_length_b 6.647
_cell_length_c 6.647
_cell_angle_alpha 90.00
_cell_angle_beta 90.00
_cell_angle_gamma 90.00
_space_group_name_H-M_alt 'F -4 3 m'
_space_group_IT_number 216
_space_group_name_Hall 'F -4 2 3'
loop_
_atom_site_label
_atom_site_fract_x
_atom_site_fract_y
_atom_site_fract_z
Rb1 0.000 0.000 0.000
Co1 0.250 0.250 0.750
Tc1 0.250 0.250 0.250